No. 1
A relaxed TbPmHo14 crystal, computed with GGA-PBE.

Output
Magnetic moment   0.00 μB per formula unit
DFT total energy   -4.587 eV per atom
E_form   0.005 eV/atom

a = 11.4169 Å, b = 7.0986 Å, c = 7.0986 Å
α = 60.03°, β = 90.00°, γ = 90.00°
Closest atoms and distances in Å follow each position.
Sites, in units of the cell vectors:
Tb1 0.0000 0.0000 0.0000  10 Ho 3.52-3.55, 2 Pm 3.55
Pm1 0.0000 0.4999 0.4999  10 Ho 3.53-3.55, 2 Tb 3.55
Ho1 0.0000 0.0000 0.5001  8 Ho 3.52-3.55, 2 Pm 3.55, 2 Tb 3.55
Ho2 0.0000 0.5001 0.0000  8 Ho 3.52-3.55, 2 Pm 3.55, 2 Tb 3.55
Ho3 0.2505 0.1671 0.1671  11 Ho 3.51-3.55, 1 Tb 3.52
Ho4 0.2514 0.6671 0.6671  11 Ho 3.50-3.55, 1 Pm 3.53
Ho5 0.2519 0.1666 0.6671  10 Ho 3.49-3.55, 1 Tb 3.53, 1 Pm 3.53
Ho6 0.2519 0.6671 0.1666  10 Ho 3.49-3.55, 1 Tb 3.53, 1 Pm 3.53
Ho7 0.5000 0.3338 0.3338  12 Ho 3.50-3.55
Ho8 0.5000 0.3338 0.8342  12 Ho 3.50-3.55
Ho9 0.5000 0.8342 0.3338  12 Ho 3.50-3.55
Ho10 0.5000 0.8338 0.8338  12 Ho 3.49-3.55
Ho11 0.7481 0.1666 0.6671  10 Ho 3.49-3.55, 1 Tb 3.53, 1 Pm 3.53
Ho12 0.7481 0.6671 0.1666  10 Ho 3.49-3.55, 1 Tb 3.53, 1 Pm 3.53
Ho13 0.7486 0.6671 0.6671  11 Ho 3.50-3.55, 1 Pm 3.53
Ho14 0.7495 0.1671 0.1671  11 Ho 3.51-3.55, 1 Tb 3.52


No. 2
A relaxed TlCd2Au crystal, computed with GGA-PBE.

Output
Magnetic moment   0.00 μB per formula unit
DFT total energy   -1.879 eV per atom
E_form   -0.011 eV/atom
Offset from the most stable computed form   81 meV per atom

a = 3.9993 Å, b = 4.3252 Å, c = 5.8608 Å
α = 90.00°, β = 104.97°, γ = 90.00°
Closest atoms and distances in Å follow each position.
Sites, in units of the cell vectors:
Tl1 0.0000 0.0000 0.0000  2 Cd 3.00-3.17, 4 Au 3.01-3.12
Cd1 0.3177 0.5000 0.6285  2 Au 2.95-3.15, 4 Cd 3.06-3.10
Cd2 0.7510 0.0000 0.4708  2 Au 2.85, 2 Tl 3.00-3.17, 4 Cd 3.06-3.10
Au1 0.5364 0.5000 0.1501  4 Cd 2.85-3.15, 4 Tl 3.01-3.12